(1)
AgSnO3 | OQMD | GGA-PBE | optimized geometry; final energy = -0.1906 hartree per atom; symmetry = No. 62
1.0
5.392 0.000 0.000
0.000 5.661 0.000
0.000 0.000 8.030
Sn O Ag
4 12 4
Direct
0.000 0.500 0.500
0.500 0.000 0.000
0.500 0.000 0.500
0.000 0.500 0.000
0.799 0.792 0.429
0.136 0.435 0.250
0.636 0.065 0.750
0.864 0.565 0.750
0.201 0.208 0.929
0.364 0.935 0.250
0.299 0.708 0.929
0.701 0.292 0.429
0.701 0.292 0.071
0.799 0.792 0.071
0.299 0.708 0.571
0.201 0.208 0.571
0.986 0.074 0.250
0.014 0.926 0.750
0.514 0.574 0.250
0.486 0.426 0.750

(2)
AgGeIrSe3 | OQMD | GGA-PBE | optimized geometry; final energy = -0.1702 hartree per atom; symmetry = No. 63
1.0
2.339 0.250 -7.413
-5.137 -1.944 5.506
-4.383 8.472 -1.097
Se Ir Ag Ge
6 2 2 2
Direct
0.950 0.050 0.250
0.610 0.390 0.481
0.050 0.950 0.750
0.390 0.610 0.519
0.610 0.390 0.019
0.390 0.610 0.981
0.000 0.000 0.500
0.000 0.000 0.000
0.699 0.301 0.250
0.301 0.699 0.750
0.332 0.668 0.250
0.668 0.332 0.750

(3)
Al2CoCu4Ni | OQMD | GGA-PBE | optimized geometry; distance to the lowest polymorph of the same formula = 0.000 eV/atom; final energy = -0.1663 hartree per atom; symmetry = No. 123
1.0
-0.989 -2.839 2.732
1.731 -2.843 -2.328
5.014 0.846 2.695
Al Co Cu Ni
2 1 4 1
Direct
0.000 0.000 0.000
0.500 0.500 0.500
0.500 0.500 0.000
0.500 0.000 0.750
0.500 0.000 0.250
0.000 0.500 0.750
0.000 0.500 0.250
0.000 0.000 0.500

(4)
NdSnAuSe2S | OQMD | GGA-PBE | optimized geometry; final energy = -0.1740 hartree per atom; symmetry = No. 63
1.0
-4.953 3.260 -4.001
2.285 -1.503 6.610
5.796 8.806 0.000
Sn Au Se S Nd
2 2 4 2 2
Direct
0.250 0.750 0.750
0.750 0.250 0.250
0.474 0.526 0.250
0.526 0.474 0.750
0.652 0.348 0.938
0.652 0.348 0.562
0.348 0.652 0.062
0.348 0.652 0.438
0.910 0.090 0.750
0.090 0.910 0.250
0.000 0.000 0.000
0.000 0.000 0.500

(5)
HfTcNiBi | OQMD | GGA-PBE | optimized geometry; distance to the lowest polymorph of the same formula = 0.000 eV/atom; final energy = -0.2728 hartree per atom; symmetry = No. 216
1.0
3.128 -2.936 -1.726
-1.003 -4.501 -0.357
-0.662 -1.898 -4.165
Hf Ni Bi Tc
1 1 1 1
Direct
0.500 0.500 0.500
0.750 0.750 0.750
0.000 0.000 0.000
0.250 0.250 0.250

(6)
La2Cd4AgAu | OQMD | GGA-PBE | optimized geometry; energy of formation from the pure elements = -0.436 eV/atom; final energy = -0.1057 hartree per atom; symmetry = No. 38
1.0
-0.489 7.524 -3.146
-5.583 0.151 1.231
-2.908 1.737 4.608
Cd La Ag Au
4 2 1 1
Direct
0.194 0.137 0.137
0.806 0.137 0.137
0.304 0.863 0.863
0.696 0.863 0.863
0.500 0.571 0.571
0.000 0.430 0.430
0.000 0.724 0.724
0.500 0.276 0.276